(1)
Compound: Sc4ZnSe2S
Source: the Alexandria database
Functional: GGA-PBE
Structure: optimized geometry

```
8
Lattice="6.678 0.000 0.000 0.000 3.739 0.000 -2.104 0.000 6.359" Properties=species:S:1:pos:R:3 pbc="T T T"
Sc 1.048 0.000 1.539
Sc 0.048 1.870 4.778
Sc 4.526 1.870 1.581
Sc 3.526 0.000 4.820
Zn -1.052 0.000 3.180
Se 3.339 0.000 0.000
Se 2.287 1.870 3.180
S 0.000 1.870 0.000
```

Summary:
- Total magnetization: 0.0 μB per formula unit
- Fermi-level density of states: 3.794 states/eV/cell
- Raw formation energy: -1.317 eV/atom

(2)
Compound: ScSiS3
Source: the Alexandria database
Functional: GGA-PBE
Structure: optimized geometry

```
5
Lattice="4.875 0.000 0.000 0.000 4.875 0.000 0.000 0.000 4.875" Properties=species:S:1:pos:R:3 pbc="T T T"
Sc 0.000 0.000 0.000
Si 2.438 2.438 2.438
S 0.000 0.000 2.438
S 0.000 2.438 0.000
S 2.438 0.000 0.000
```

Summary:
- Total magnetization: 0.0 μB per formula unit
- Polymorph energy (0 for the lowest one): 860.8 meV per atom
- Fermi-level density of states: 2.218 states/eV/cell
- Raw formation energy: -0.139 eV/atom

(3)
Compound: ScSi2S4
Source: the Alexandria database
Functional: GGA-PBE
Structure: optimized geometry

```
14
Lattice="7.046 0.000 0.000 0.000 7.046 0.000 0.000 0.000 6.310" Properties=species:S:1:pos:R:3 pbc="T T T"
Sc 0.000 0.000 0.000
Sc 3.523 3.523 3.155
Si 0.000 3.523 1.578
Si 0.000 3.523 4.733
Si 3.523 0.000 1.578
Si 3.523 0.000 4.733
S 1.173 4.775 0.000
S 1.252 2.351 3.155
S 2.271 1.173 0.000
S 2.351 5.794 3.155
S 4.696 1.252 3.155
S 4.775 5.874 0.000
S 5.794 4.696 3.155
S 5.874 2.271 0.000
```

Summary:
- Total magnetization: 0.0 μB per formula unit
- Fermi-level density of states: 8.301 states/eV/cell
- Raw formation energy: -0.411 eV/atom

(4)
Compound: Sc2SiS4
Source: the Alexandria database
Functional: GGA-PBE
Structure: optimized geometry

```
14
Lattice="5.920 0.000 0.000 0.000 5.920 0.000 0.000 0.000 10.187" Properties=species:S:1:pos:R:3 pbc="T T T"
Sc 0.000 2.960 2.547
Sc 0.000 2.960 7.640
Sc 2.960 0.000 2.547
Sc 2.960 0.000 7.640
Si 0.000 0.000 0.000
Si 2.960 2.960 5.093
S 1.306 1.306 1.206
S 1.306 4.614 8.981
S 1.654 1.654 6.299
S 1.654 4.266 3.888
S 4.266 1.654 3.888
S 4.266 4.266 6.299
S 4.614 1.306 8.981
S 4.614 4.614 1.206
```

Summary:
- Total magnetization: 0.0 μB per formula unit
- Fermi-level density of states: 9.926 states/eV/cell
- Raw formation energy: -1.081 eV/atom

Q: Which formula does entry 2 have?
A: ScSiS3